Entry 1
# YCo3Cu

A relaxed YCo3Cu crystal (GGA-PBE, the Alexandria database).

```
5
Lattice="4.3923 0.0000 0.0000 0.0000 4.3923 0.0000 0.0000 0.0000 4.3923" Properties=species:S:1:pos:R:3 pbc="T T T"
Co 2.1961 0.0000 0.0000
Cu 0.0000 0.0000 0.0000
Co 0.0000 0.0000 2.1961
Co 0.0000 2.1961 0.0000
Y 2.1961 2.1961 2.1961
```

## Properties
Space group: Pm-3m (221)

---

Entry 2
# YCo3Cu

A relaxed YCo3Cu crystal (GGA-PBE, the Alexandria database).

```
5
Lattice="-4.4332 -1.3074 0.0993 0.7774 -2.9028 -3.5131 1.0559 -3.3521 3.0035" Properties=species:S:1:pos:R:3 pbc="T T T"
Cu -1.3000 -3.7812 -0.2052
Co 0.3887 -1.4514 -1.7566
Y 0.0000 0.0000 0.0000
Co 0.5279 -1.6761 1.5017
Co -2.2166 -0.6537 0.0496
```

## Properties
Space group: Pm-3m (221)

---

The least stable of them is entry 2.

---

Entry 1
# Y8CoCu2

A relaxed Y8CoCu2 crystal (GGA-PBE, the Alexandria database).

```
11
Lattice="-0.6410 0.3457 5.0693 -6.3077 -2.0373 -0.6587 5.0460 -7.2917 -1.4516" Properties=species:S:1:pos:R:3 pbc="T T T"
Co -0.3205 0.1728 2.5346
Y 3.0188 -4.8369 0.7116
Cu -2.8173 -4.1362 -0.0742
Y -1.7525 -5.4720 2.7385
Y 0.3248 -7.0038 0.5186
Y -4.9215 -4.1465 2.2473
Cu 0.9146 -4.8472 3.0331
Y -4.6947 -2.0853 -0.4515
Y 2.7920 -6.8981 3.4104
Y -2.2275 -1.9795 2.4402
Y -0.1502 -3.5114 0.2204
```

## Properties
Space group: C2/m (12)

---

Entry 2
# Y8CoCu2

A relaxed Y8CoCu2 crystal (GGA-PBE, the Alexandria database).

```
11
Lattice="-1.9776 -2.4287 5.2270 5.4243 -4.8168 -2.3741 3.2190 6.5963 2.0946" Properties=species:S:1:pos:R:3 pbc="T T T"
Y 0.4938 0.4407 3.7070
Y 2.8401 0.1760 0.9519
Y 3.9726 -0.7697 3.9262
Y 1.6613 2.6132 6.3892
Y 1.0770 -2.5773 2.5253
Y 6.3612 -1.0122 0.7646
Y 5.7309 2.2498 2.0419
Y 3.2172 -5.4393 3.2363
Cu 3.8941 -2.5158 1.7262
Co 7.9872 1.1619 0.9740
Cu 3.0528 1.8388 3.4312
```

## Properties
Space group: Cm (8)

---

The least stable of them is entry 2.

---

Entry 1
# Y4CoCu

A relaxed Y4CoCu crystal (GGA-PBE, the Alexandria database).

```
6
Lattice="1.2380 1.1246 5.8654 0.2193 5.7500 2.0224 -4.3760 2.1033 3.6915" Properties=species:S:1:pos:R:3 pbc="T T T"
Co -2.1891 6.7334 8.6844
Y -0.4773 3.9300 7.2722
Y -1.0952 3.3687 4.3448
Y -3.2792 4.4185 6.1872
Cu 0.0000 0.0000 0.0000
Y -0.9857 6.2385 5.3542
```

## Properties
Space group: F-43m (216)

---

Entry 2
# Y4CoCu

A relaxed Y4CoCu crystal (GGA-PBE, the Alexandria database).

```
12
Lattice="7.6571 -0.2330 0.0000 -3.3052 6.9110 0.0000 -2.1760 -3.3390 6.5424" Properties=species:S:1:pos:R:3 pbc="T T T"
Y 0.9917 3.9874 5.1961
Y -2.6803 4.2481 4.5650
Y 2.6443 0.5319 4.6174
Cu 1.0819 1.6602 0.0000
Y -2.2338 6.0894 1.3462
Co 2.7470 -1.7762 3.2712
Y -0.5125 2.8354 1.9774
Y 3.3161 2.7188 1.2938
Co 3.2703 5.0182 0.0000
Cu 4.9105 1.5437 3.2712
Y -1.0277 0.7926 5.2486
Y 4.9000 -0.9381 1.9250
```

## Properties
Space group: I4_1md (109)

---

The least stable of them is entry 1.

---

Entry 1
# ZnCoCu

A relaxed ZnCoCu crystal (GGA-PBE, the Alexandria database).

```
6
Lattice="-2.1520 1.5429 0.1542 -1.1781 -1.4555 -1.8786 -3.9543 -6.2471 7.3198" Properties=species:S:1:pos:R:3 pbc="T T T"
Cu -4.2131 -6.4532 5.7692
Zn -4.0071 -3.8591 5.5027
Cu -1.4062 0.2498 0.6883
Zn -1.6123 -2.3443 0.9548
Co -2.8480 -4.2966 3.2423
Co -2.7713 -1.9068 3.2152
```

## Properties
Space group: P4/nmm (129)

---

Entry 2
# ZnCoCu

A relaxed ZnCoCu crystal (GGA-PBE, the Alexandria database).

```
3
Lattice="5.8489 -0.0069 0.0074 5.2898 2.4961 -0.0092 0.5592 0.1422 2.4990" Properties=species:S:1:pos:R:3 pbc="T T T"
Co 0.5735 0.1454 2.4956
Zn 4.1142 0.9309 1.6587
Cu 7.5693 1.6974 0.8419
```

## Properties
Space group: I4mm (107)

---

Entry 3
# ZnCoCu

A relaxed ZnCoCu crystal (GGA-PBE, the Alexandria database).

```
3
Lattice="-1.9155 1.1516 -1.2893 -0.5195 -1.3953 2.1074 0.6911 5.1811 3.6007" Properties=species:S:1:pos:R:3 pbc="T T T"
Zn -0.5212 2.9295 3.3908
Co 0.0016 0.0120 0.0083
Cu -1.2243 1.9960 1.0197
```

## Properties
Space group: P3m1 (156)

---

The least stable of them is entry 3.

---

Entry 1
# ZnCoCu

A relaxed ZnCoCu crystal (GGA-PBE, the Alexandria database).

```
6
Lattice="3.4923 0.0200 -0.3598 0.0049 2.6186 0.1930 0.8287 2.0088 8.1569" Properties=species:S:1:pos:R:3 pbc="T T T"
Cu 3.7497 2.5425 3.0671
Cu 2.4351 3.5173 7.4931
Zn 4.0458 2.3175 5.9331
Co 1.8603 1.3247 1.7925
Co 3.4953 2.7249 0.6102
Zn 2.1385 3.7440 4.6278
```

## Properties
Space group: P2_1/m (11)

---

Entry 2
# ZnCoCu

A relaxed ZnCoCu crystal (GGA-PBE, the Alexandria database).

```
3
Lattice="3.9416 0.0000 0.0000 1.9708 3.4136 0.0000 1.9708 1.1379 3.2183" Properties=species:S:1:pos:R:3 pbc="T T T"
Zn 0.0000 0.0000 0.0000
Cu 5.9125 3.4136 2.4138
Co 3.9416 2.2757 1.6092
```

## Properties
Space group: F-43m (216)

---

The least stable of them is entry 2.

---

Entry 1
# Zn3CoCu

A relaxed Zn3CoCu crystal (GGA-PBE, the Alexandria database).

```
20
Lattice="-0.4886 -2.4313 2.9818 -1.0198 -3.8235 -3.2847 12.5747 -3.0132 -0.3964" Properties=species:S:1:pos:R:3 pbc="T T T"
Cu 1.4497 -2.5292 1.9585
Cu 7.6071 -4.2233 -0.9361
Cu 3.4593 -5.0447 0.2367
Cu 9.6167 -6.7388 -2.6579
Zn 2.6347 -2.5250 -0.3660
Zn 11.4847 -5.2705 1.3676
Zn 8.4316 -6.7430 -0.3334
Zn 5.8301 -5.9495 -0.1126
Co 6.3923 -4.0404 1.5361
Co 0.1389 -2.1069 -0.4341
Zn 4.0993 -3.1413 1.8935
Zn 2.2685 -4.4712 -2.0129
Zn 10.2453 -4.8783 -1.0378
Zn 0.8210 -4.3897 0.3384
Zn -0.4184 -3.9975 -2.0670
Co 10.9274 -7.1611 -0.2653
Co 4.6740 -5.2276 -2.2355
Zn 5.2363 -3.3185 -0.5868
Zn 6.9670 -6.1267 -2.5929
Zn 8.7979 -4.7968 1.3135
```

## Properties
Space group: Pnma (62)

---

Entry 2
# Zn3CoCu

A relaxed Zn3CoCu crystal (GGA-PBE, the Alexandria database).

```
5
Lattice="4.4963 0.0000 0.0000 0.0000 4.4963 0.0000 0.0000 0.0000 4.4963" Properties=species:S:1:pos:R:3 pbc="T T T"
Zn 0.0000 0.0000 2.2482
Cu 2.2482 2.2482 2.2482
Zn 0.0000 2.2482 0.0000
Zn 2.2482 0.0000 0.0000
Co 0.0000 0.0000 0.0000
```

## Properties
Space group: Pm-3m (221)

---

Entry 3
# Zn3CoCu

A relaxed Zn3CoCu crystal (GGA-PBE, the Alexandria database).

```
20
Lattice="-3.8626 2.0277 -5.9282 3.0477 -1.0147 -5.6409 -3.5567 -4.7575 -2.6180" Properties=species:S:1:pos:R:3 pbc="T T T"
Zn -2.9427 -3.5230 -8.1234
Zn -3.2786 -1.6049 -11.8178
Cu -4.4089 -2.1454 -9.6102
Zn -2.6607 -0.7520 -3.8852
Zn -1.1408 -0.3104 -11.0955
Zn -1.7109 -2.9925 -10.3018
Cu -0.8756 -2.2514 -7.3793
Zn -1.4288 -0.2215 -6.0636
Zn -3.2307 -3.4341 -3.0916
Co -2.3137 -0.8905 -8.9590
Zn -0.2467 0.3654 -8.3055
Cu -3.4959 -1.4930 -6.8077
Zn -1.0930 -2.1395 -2.3693
Co -2.0579 -2.8539 -5.2280
Co 1.2660 -0.9702 -6.7494
Zn -1.4894 -4.9753 -6.5551
Cu 0.0373 -1.5990 -4.5769
Zn -2.8822 1.2308 -7.6319
Co -5.6376 -2.7743 -7.4376
Zn -4.1248 -4.1098 -5.8816
```

## Properties
Space group: C2/c (15)

---

The least stable of them is entry 2.

---

Entry 1
# Zn6Co2Cu

A relaxed Zn6Co2Cu crystal (GGA-PBE, the Alexandria database).

```
9
Lattice="4.0181 0.0000 -0.1461 0.0000 5.7748 0.0000 -1.7596 -2.8874 6.0965" Properties=species:S:1:pos:R:3 pbc="T T T"
Zn 2.0090 4.2501 -0.0730
Zn 0.0862 1.4875 2.0458
Cu 0.0000 0.0000 0.0000
Zn 2.1722 1.3999 3.9046
Zn 2.0090 1.5247 -0.0730
Co 2.0948 2.8874 1.9553
Co 0.1636 0.0000 3.9951
Zn 0.0862 4.2874 2.0458
Zn 2.1722 -1.3999 3.9046
```

## Properties
Space group: C2/m (12)

---

Entry 2
# Zn6Co2Cu

A relaxed Zn6Co2Cu crystal (GGA-PBE, the Alexandria database).

```
18
Lattice="-2.5101 -1.5548 -3.1102 4.6346 -6.5658 1.1010 -5.5875 0.4041 5.8667" Properties=species:S:1:pos:R:3 pbc="T T T"
Zn -1.7254 -6.8365 3.4589
Zn 0.5225 -6.2808 1.2554
Zn 0.3185 -5.2529 3.9634
Co -2.2145 -2.8560 1.7980
Zn -0.2238 -5.6336 -1.2919
Zn -3.7815 -2.4636 -0.1058
Co -1.3076 -3.1870 4.2274
Zn -2.0438 -4.9863 5.7476
Cu -5.2714 -0.6280 4.6492
Zn -3.2392 -2.0828 5.1495
Zn -1.4192 -2.7302 -1.8901
Co -2.1554 -4.5294 -0.3699
Zn -0.0864 -3.3500 0.3117
Cu 1.8084 -7.0884 -0.7917
Zn -3.9855 -1.4356 2.6021
Zn -3.3766 -4.3665 3.5458
Co -1.2485 -4.8605 2.0596
Zn -1.7376 -0.8799 0.3986
```

## Properties
Space group: C2/c (15)

---

The least stable of them is entry 1.

---

Entry 1
# ZnCoCu3

A relaxed ZnCoCu3 crystal (GGA-PBE, the Alexandria database).

```
5
Lattice="4.3991 0.0000 0.0000 0.0000 4.3991 0.0000 0.0000 0.0000 4.3991" Properties=species:S:1:pos:R:3 pbc="T T T"
Cu 0.0000 0.0000 2.1996
Cu 2.1996 0.0000 0.0000
Cu 0.0000 2.1996 0.0000
Zn 2.1996 2.1996 2.1996
Co 0.0000 0.0000 0.0000
```

## Properties
Space group: Pm-3m (221)

---

Entry 2
# ZnCoCu3

A relaxed ZnCoCu3 crystal (GGA-PBE, the Alexandria database).

```
5
Lattice="4.3698 0.0000 0.0000 0.0000 4.3698 0.0000 0.0000 0.0000 4.3698" Properties=species:S:1:pos:R:3 pbc="T T T"
Cu 2.1849 0.0000 0.0000
Cu 0.0000 2.1849 0.0000
Zn 0.0000 0.0000 0.0000
Cu 0.0000 0.0000 2.1849
Co 2.1849 2.1849 2.1849
```

## Properties
Space group: Pm-3m (221)

---

The least stable of them is entry 2.

---

Entry 1
# ZnCo2Cu2

A relaxed ZnCo2Cu2 crystal (GGA-PBE, the Alexandria database).

```
10
Lattice="-0.3939 1.8816 6.6935 4.4666 -5.0694 1.6879 1.9823 1.6326 -0.3423" Properties=species:S:1:pos:R:3 pbc="T T T"
Cu 1.6239 -1.6632 1.4715
Co 1.6285 0.5640 2.3164
Co 2.1315 0.7104 5.9277
Cu 0.3137 0.5411 4.3976
Cu 2.4489 -1.5246 6.9098
Co 3.9235 -2.2656 2.1114
Zn 0.0000 0.0000 0.0000
Cu 3.7591 -3.7289 3.9837
Co 4.4266 -2.1192 5.7226
Zn 2.0364 -1.5939 4.1907
```

## Properties
Space group: P4/mbm (127)

---

Entry 2
# ZnCo2Cu2

A relaxed ZnCo2Cu2 crystal (GGA-PBE, the Alexandria database).

```
10
Lattice="-6.5733 0.0429 -2.3812 -1.5359 -5.4189 4.1421 -0.6736 1.6347 1.8889" Properties=species:S:1:pos:R:3 pbc="T T T"
Cu -6.0597 -3.6038 2.7299
Cu -2.7231 -0.1374 0.9198
Co -4.2347 -0.6071 -0.9847
Zn 0.0000 0.0000 0.0000
Zn -4.0546 -2.6880 0.8804
Cu -6.2286 -0.8883 0.3195
Co -6.7522 -3.3051 0.4525
Cu -2.5541 -2.8530 3.3302
Co -1.3569 -2.0709 1.3084
Co -3.8744 -4.7689 2.7456
```

## Properties
Space group: P4/mbm (127)

---

The least stable of them is entry 1.

---

Entry 1
# ZrCo2Cu2

A relaxed ZrCo2Cu2 crystal (GGA-PBE, the Alexandria database).

```
10
Lattice="6.9831 0.0000 0.0000 0.0000 6.9831 0.0000 0.0000 0.0000 2.7544" Properties=species:S:1:pos:R:3 pbc="T T T"
Co 5.7964 2.3048 1.3772
Co 4.6783 5.7964 1.3772
Co 1.1867 4.6783 1.3772
Co 2.3048 1.1867 1.3772
Zr 0.0000 0.0000 0.0000
Cu 0.8706 2.6210 0.0000
Cu 4.3621 0.8706 0.0000
Zr 3.4915 3.4915 0.0000
Cu 2.6210 6.1125 0.0000
Cu 6.1125 4.3621 0.0000
```

## Properties
Space group: P4/mbm (127)

---

Entry 2
# ZrCo2Cu2

A relaxed ZrCo2Cu2 crystal (GGA-PBE, the Alexandria database).

```
5
Lattice="-3.4922 -0.7085 -0.3801 0.7960 -3.2847 -1.1912 -1.5201 -3.8940 4.3315" Properties=species:S:1:pos:R:3 pbc="T T T"
Co -1.3825 -2.3757 0.2367
Cu -3.1802 -3.2995 1.5829
Cu -1.0361 -4.5877 1.1773
Zr 0.0000 0.0000 0.0000
Co -2.8338 -5.5115 2.5234
```

## Properties
Space group: I4/mmm (139)

---

Entry 3
# ZrCo2Cu2

A relaxed ZrCo2Cu2 crystal (GGA-PBE, the Alexandria database).

```
10
Lattice="6.9057 0.0000 0.0000 0.0000 6.9057 0.0000 0.0000 0.0000 2.8166" Properties=species:S:1:pos:R:3 pbc="T T T"
Cu 2.2821 1.1708 1.4083
Zr 0.0000 0.0000 0.0000
Co 2.6018 6.0546 0.0000
Zr 3.4529 3.4529 0.0000
Co 6.0546 4.3039 0.0000
Cu 5.7349 2.2821 1.4083
Co 4.3039 0.8511 0.0000
Cu 1.1708 4.6236 1.4083
Cu 4.6236 5.7349 1.4083
Co 0.8511 2.6018 0.0000
```

## Properties
Space group: P4/mbm (127)

---

The least stable of them is entry 1.